No. 1
# MgZnCu6

Crystalline MgZnCu6 at its relaxed geometry (PBE-GGA, Alexandria via LeMat-Bulk).

Properties
total DFT energy (no corrections)	-3.49	eV per atom
spin magnetization	0.00	μB/cell
energy relative to the elements	-0.061	eV per atom

Unit cell a=7.300 b=10.639 c=10.641 alpha=90.00 beta=90.00 gamma=90.00
Space group Cmmm (No. 65)
Symmetry-distinct sites (fractional):
1 Mg 0.000 0.000 0.248 x4
2 Mg 0.000 0.246 0.500 x4
3 Zn 0.000 0.245 0.000 x4
4 Zn 0.000 0.500 0.248 x4
5 Cu 0.000 0.000 0.000 x2
6 Cu 0.000 0.000 0.500 x2
7 Cu 0.000 0.250 0.246 x8
8 Cu 0.000 0.500 0.000 x2
9 Cu 0.000 0.500 0.500 x2
10 Cu 0.244 0.376 0.372 x16
11 Cu 0.245 0.374 0.122 x16



No. 2
# MgZn3Cu2

Crystalline MgZn3Cu2 at its relaxed geometry (PBE-GGA, Alexandria via LeMat-Bulk).

Properties
total DFT energy (no corrections)	-2.33	eV per atom
distance to the lowest polymorph of the same formula	0.014	eV/f.u.
spin magnetization	0.00	μB/cell
energy relative to the elements	-0.064	eV per atom

Unit cell a=4.2632 b=4.2632 c=11.2297 alpha=90.00 beta=90.00 gamma=120.00
Space group P6_3/mmc (No. 194)
Symmetry-distinct sites (fractional):
1 Mg 0.0000 0.0000 0.2500 x2
2 Zn 0.0000 0.0000 0.0000 x2
3 Zn 0.3333 0.6667 0.1070 x4
4 Cu 0.3333 0.6667 0.6302 x4



No. 3
# MgZnCu

Crystalline MgZnCu at its relaxed geometry (PBE-GGA, Alexandria via LeMat-Bulk).

Properties
total DFT energy (no corrections)	-2.37	eV per atom
spin magnetization	0.00	μB/cell
energy relative to the elements	-0.053	eV per atom

Unit cell a=3.804 b=3.804 c=6.834 alpha=90.00 beta=90.00 gamma=90.00
Space group P4/nmm (No. 129, origin choice 2)
Symmetry-distinct sites (fractional):
1 Mg 0.250 0.250 0.146 x2
2 Zn 0.250 0.750 0.500 x2
3 Cu 0.250 0.250 0.749 x2



No. 4
# Mg3Zn2Cu

Crystalline Mg3Zn2Cu at its relaxed geometry (PBE-GGA, Alexandria via LeMat-Bulk).

Properties
total DFT energy (no corrections)	-1.91	eV per atom
distance to the lowest polymorph of the same formula	0.495	eV/f.u.
spin magnetization	0.00	μB/cell
energy relative to the elements	-0.004	eV per atom

Unit cell a=6.544 b=13.371 c=5.032 alpha=90.00 beta=90.00 gamma=90.00
Space group Cmcm (No. 63)
Symmetry-distinct sites (fractional):
1 Mg 0.000 0.107 0.250 x4
2 Mg 0.240 0.314 0.250 x8
3 Zn 0.194 0.500 0.000 x8
4 Cu 0.000 0.350 0.750 x4



No. 5
# Mg6ZnCu2

Crystalline Mg6ZnCu2 at its relaxed geometry (PBE-GGA, Alexandria via LeMat-Bulk).

Properties
total DFT energy (no corrections)	-2.20	eV per atom
spin magnetization	0.00	μB/cell
energy relative to the elements	-0.087	eV per atom

Unit cell a=8.278 b=8.648 c=9.566 alpha=90.00 beta=90.00 gamma=90.00
Space group Immm (No. 71)
Symmetry-distinct sites (fractional):
1 Mg 0.000 0.200 0.167 x8
2 Mg 0.187 0.214 0.500 x8
3 Mg 0.194 0.500 0.250 x8
4 Zn 0.000 0.500 0.000 x2
5 Zn 0.000 0.500 0.500 x2
6 Cu 0.000 0.000 0.373 x4
7 Cu 0.170 0.000 0.000 x4



No. 6
# Mg2Zn4Cu3

Crystalline Mg2Zn4Cu3 at its relaxed geometry (PBE-GGA, Alexandria via LeMat-Bulk).

Properties
total DFT energy (no corrections)	-2.35	eV per atom
spin magnetization	0.00	μB/cell
energy relative to the elements	-0.060	eV per atom

Unit cell a=12.729 b=3.315 c=6.659 alpha=90.00 beta=109.76 gamma=90.00
Space group C2/m (No. 12)
Symmetry-distinct sites (fractional):
1 Mg 0.156 0.000 0.487 x4
2 Zn 0.052 0.000 0.830 x4
3 Zn 0.229 0.500 0.840 x4
4 Cu 0.000 0.500 0.500 x2
5 Cu 0.108 0.500 0.144 x4



No. 7
# Mg5Zn4Cu

Crystalline Mg5Zn4Cu at its relaxed geometry (PBE-GGA, Alexandria via LeMat-Bulk).

Properties
total DFT energy (no corrections)	-1.79	eV per atom
spin magnetization	0.00	μB/cell
energy relative to the elements	-0.074	eV per atom

Unit cell a=3.255 b=3.255 c=16.604 alpha=90.00 beta=90.00 gamma=90.00
Space group P4/mmm (No. 123)
Symmetry-distinct sites (fractional):
1 Mg 0.000 0.000 0.000 x1
2 Mg 0.000 0.000 0.202 x2
3 Mg 0.000 0.000 0.409 x2
4 Zn 0.500 0.500 0.101 x2
5 Zn 0.500 0.500 0.306 x2
6 Cu 0.500 0.500 0.500 x1



No. 8
# MgZn2Cu2

Crystalline MgZn2Cu2 at its relaxed geometry (PBE-GGA, Alexandria via LeMat-Bulk).

Properties
total DFT energy (no corrections)	-2.52	eV per atom
distance to the lowest polymorph of the same formula	0.193	eV/f.u.
spin magnetization	0.00	μB/cell
energy relative to the elements	-0.054	eV per atom

Unit cell a=4.223 b=5.757 c=6.143 alpha=90.00 beta=90.00 gamma=90.00
Space group Immm (No. 71)
Symmetry-distinct sites (fractional):
1 Mg 0.000 0.000 0.000 x2
2 Zn 0.000 0.500 0.198 x4
3 Cu 0.000 0.208 0.500 x4



No. 9
# MgZn2Cu

Crystalline MgZn2Cu at its relaxed geometry (PBE-GGA, Alexandria via LeMat-Bulk).

Properties
total DFT energy (no corrections)	-2.14	eV per atom
spin magnetization	0.00	μB/cell
energy relative to the elements	-0.081	eV per atom

Unit cell a=2.956 b=19.869 c=4.259 alpha=90.00 beta=90.00 gamma=90.00
Space group Cmcm (No. 63)
Symmetry-distinct sites (fractional):
1 Mg 0.000 0.104 0.250 x4
2 Zn 0.000 0.268 0.750 x4
3 Zn 0.000 0.465 0.250 x4
4 Cu 0.000 0.341 0.250 x4



No. 10
# MgZn2Cu

Crystalline MgZn2Cu at its relaxed geometry (PBE-GGA, Alexandria via LeMat-Bulk).

Properties
total DFT energy (no corrections)	-1.92	eV per atom
spin magnetization	0.00	μB/cell
energy relative to the elements	0.142	eV per atom

Unit cell a=5.414 b=9.227 c=2.753 alpha=90.00 beta=90.00 gamma=90.00
Space group Cmmm (No. 65)
Symmetry-distinct sites (fractional):
1 Mg 0.000 0.000 0.000 x2
2 Zn 0.000 0.274 0.500 x4
3 Cu 0.000 0.500 0.000 x2



No. 11
# Mg2ZnCu2

Crystalline Mg2ZnCu2 at its relaxed geometry (PBE-GGA, Alexandria via LeMat-Bulk).

Properties
total DFT energy (no corrections)	-2.49	eV per atom
spin magnetization	0.00	μB/cell
energy relative to the elements	0.042	eV per atom

Unit cell a=2.768 b=4.537 c=12.446 alpha=90.00 beta=90.00 gamma=90.00
Space group Pmmn (No. 59, origin choice 2)
Symmetry-distinct sites (fractional):
1 Mg 0.250 0.250 0.049 x2
2 Mg 0.250 0.750 0.357 x2
3 Zn 0.250 0.750 0.743 x2
4 Cu 0.250 0.250 0.459 x2
5 Cu 0.250 0.750 0.152 x2



No. 12
# Mg2Zn3Cu

Crystalline Mg2Zn3Cu at its relaxed geometry (PBE-GGA, Alexandria via LeMat-Bulk).

Properties
total DFT energy (no corrections)	-1.79	eV per atom
distance to the lowest polymorph of the same formula	1.361	eV/f.u.
spin magnetization	0.00	μB/cell
energy relative to the elements	0.056	eV per atom

Unit cell a=7.574 b=9.317 c=5.865 alpha=90.00 beta=90.00 gamma=90.00
Space group Cmcm (No. 63)
Symmetry-distinct sites (fractional):
1 Mg 0.190 0.000 0.000 x8
2 Zn 0.000 0.474 0.250 x4
3 Zn 0.168 0.263 0.750 x8
4 Cu 0.000 0.204 0.250 x4



No. 13
# MgZnCu

Crystalline MgZnCu at its relaxed geometry (PBE-GGA, Alexandria via LeMat-Bulk).

Properties
total DFT energy (no corrections)	-2.36	eV per atom
spin magnetization	0.00	μB/cell
energy relative to the elements	-0.035	eV per atom

Unit cell a=4.4600 b=4.4600 c=5.3401 alpha=90.00 beta=90.00 gamma=120.00
Space group P6_3/mmc (No. 194)
Symmetry-distinct sites (fractional):
1 Mg 0.3333 0.6667 0.2500 x2
2 Zn 0.0000 0.0000 0.0000 x2
3 Cu 0.3333 0.6667 0.7500 x2



No. 14
# Mg3Zn2Cu2

Crystalline Mg3Zn2Cu2 at its relaxed geometry (PBE-GGA, Alexandria via LeMat-Bulk).

Properties
total DFT energy (no corrections)	-2.28	eV per atom
distance to the lowest polymorph of the same formula	0.000	eV/f.u.
spin magnetization	0.00	μB/cell
energy relative to the elements	-0.058	eV per atom

Unit cell a=12.890 b=4.368 c=10.135 alpha=90.00 beta=123.97 gamma=90.00
Space group C2/m (No. 12)
Symmetry-distinct sites (fractional):
1 Mg 0.147 0.000 0.159 x4
2 Mg 0.159 0.500 0.451 x4
3 Mg 0.205 0.000 0.896 x4
4 Zn 0.027 0.500 0.891 x4
5 Zn 0.126 0.000 0.593 x4
6 Cu 0.030 0.000 0.302 x4
7 Cu 0.098 0.500 0.700 x4



No. 15
# Mg2Zn2Cu

Crystalline Mg2Zn2Cu at its relaxed geometry (PBE-GGA, Alexandria via LeMat-Bulk).

Properties
total DFT energy (no corrections)	-2.03	eV per atom
distance to the lowest polymorph of the same formula	0.264	eV/f.u.
spin magnetization	0.00	μB/cell
energy relative to the elements	-0.064	eV per atom

Unit cell a=4.4922 b=4.4922 c=14.0496 alpha=90.00 beta=90.00 gamma=120.00
Space group R-3m (No. 166, hexagonal axes)
Symmetry-distinct sites (fractional):
1 Mg 0.0000 0.0000 0.1078 x6
2 Zn 0.0000 0.0000 0.3189 x6
3 Cu 0.0000 0.0000 0.5000 x3



No. 16
# MgZn2Cu2

Crystalline MgZn2Cu2 at its relaxed geometry (PBE-GGA, Alexandria via LeMat-Bulk).

Properties
total DFT energy (no corrections)	-2.55	eV per atom
distance to the lowest polymorph of the same formula	0.065	eV/f.u.
spin magnetization	0.00	μB/cell
energy relative to the elements	-0.080	eV per atom

Unit cell a=2.795 b=4.318 c=12.081 alpha=90.00 beta=90.00 gamma=90.00
Space group Pmmn (No. 59, origin choice 2)
Symmetry-distinct sites (fractional):
1 Mg 0.250 0.250 0.250 x2
2 Zn 0.250 0.250 0.643 x2
3 Zn 0.250 0.750 0.966 x2
4 Cu 0.250 0.250 0.849 x2
5 Cu 0.250 0.750 0.536 x2



No. 17
# Mg2ZnCu3

Crystalline Mg2ZnCu3 at its relaxed geometry (PBE-GGA, Alexandria via LeMat-Bulk).

Properties
total DFT energy (no corrections)	-2.66	eV per atom
distance to the lowest polymorph of the same formula	1.942	eV/f.u.
spin magnetization	0.00	μB/cell
energy relative to the elements	0.135	eV per atom

Unit cell a=10.988 b=6.724 c=5.523 alpha=90.00 beta=90.00 gamma=90.00
Space group Cmcm (No. 63)
Symmetry-distinct sites (fractional):
1 Mg 0.219 0.000 0.000 x8
2 Zn 0.000 0.369 0.250 x4
3 Cu 0.000 0.011 0.250 x4
4 Cu 0.110 0.304 0.750 x8



No. 18
# MgZn4Cu

Crystalline MgZn4Cu at its relaxed geometry (PBE-GGA, Alexandria via LeMat-Bulk).

Properties
total DFT energy (no corrections)	-1.87	eV per atom
distance to the lowest polymorph of the same formula	0.000	eV/f.u.
spin magnetization	0.00	μB/cell
energy relative to the elements	-0.069	eV per atom

Unit cell a=8.492 b=2.960 c=7.317 alpha=90.00 beta=90.00 gamma=90.00
Space group Pmma (No. 51)
Symmetry-distinct sites (fractional):
1 Mg 0.250 0.000 0.049 x2
2 Zn 0.000 0.000 0.500 x2
3 Zn 0.026 0.500 0.817 x4
4 Zn 0.250 0.500 0.383 x2
5 Cu 0.250 0.000 0.682 x2



No. 19
# Mg2ZnCu3

Crystalline Mg2ZnCu3 at its relaxed geometry (PBE-GGA, Alexandria via LeMat-Bulk).

Properties
total DFT energy (no corrections)	-2.98	eV per atom
distance to the lowest polymorph of the same formula	0.000	eV/f.u.
spin magnetization	0.00	μB/cell
energy relative to the elements	-0.189	eV per atom

Unit cell a=5.0955 b=5.0955 c=7.9403 alpha=90.00 beta=90.00 gamma=120.00
Space group P6_3/mmc (No. 194)
Symmetry-distinct sites (fractional):
1 Mg 0.3333 0.6667 0.0641 x4
2 Zn 0.0000 0.0000 0.0000 x2
3 Cu 0.1716 0.3431 0.7500 x6



No. 20
# MgZnCu

Crystalline MgZnCu at its relaxed geometry (PBE-GGA, Alexandria via LeMat-Bulk).

Properties
total DFT energy (no corrections)	-2.42	eV per atom
spin magnetization	0.00	μB/cell
energy relative to the elements	-0.100	eV per atom

Unit cell a=3.161 b=3.161 c=9.217 alpha=90.00 beta=90.00 gamma=90.00
Space group I4mm (No. 107)
Symmetry-distinct sites (fractional):
1 Mg 0.000 0.000 0.000 x2
2 Zn 0.000 0.000 0.690 x2
3 Cu 0.000 0.000 0.325 x2